Entry from Alexandria: LiPd5Rh after structural relaxation (GGA-PBE).

abc: 7.541 7.541 4.989
angles: 61.34 61.34 78.41
Last column: magnetic moment on the atom in μB.
Positions (direct):
1 Li 0.440 0.560 0.250  0.00
2 Li 0.560 0.440 0.750  0.00
3 Pd 0.821 0.664 0.101  0.04
4 Pd 0.055 0.654 0.478  0.03
5 Pd 0.664 0.821 0.601  0.04
6 Pd 0.729 0.271 0.250  0.05
7 Pd 0.346 0.945 0.022  0.03
8 Pd 0.654 0.055 0.978  0.03
9 Pd 0.271 0.729 0.750  0.05
10 Pd 0.336 0.179 0.399  0.04
11 Pd 0.945 0.346 0.522  0.03
12 Pd 0.179 0.336 0.899  0.04
13 Rh 0.000 0.000 0.000  0.23
14 Rh 0.000 0.000 0.500  0.23

Space-group type ... C2/c
D(E_F) ... 22.4 states/eV/cell
VASP energy ... -4.993 eV per atom
Magnetization ... 0.059 μB/atom
Calculated formation energy ... 0.040 eV/atom